No. 1
A relaxed CsRb2CdAg crystal, computed with PBE-GGA.

Values from the calculation:
* SG: P4/mmm, No. 123
* energy above the most stable polymorph in this dataset: 0 meV per atom
* total energy: -1.25 eV per atom
* total magnetization: 0.00 μB/f.u.
* E_form: 0.064 eV/atom

Unit cell a=6.920 b=6.920 c=5.707 alpha=90.00 beta=90.00 gamma=90.00
Fractional positions:
Rb  0.500  0.000  0.000
Rb  0.000  0.500  0.000
Cs  0.500  0.500  0.500
Ag  0.000  0.000  0.000
Cd  0.000  0.000  0.500

No. 2
A relaxed U2Se2Cl crystal, computed with PBE-GGA.

Values from the calculation:
* SG: Immm, No. 71
* total energy: -7.34 eV per atom
* total magnetization: 6.05 μB/f.u.

Unit cell a=3.873 b=5.682 c=7.005 alpha=113.93 beta=106.05 gamma=90.00
Site moments in Bohr magnetons follow the coordinates.
Fractional positions:
U  0.672  0.172  0.345  2.70
U  0.328  0.828  0.655  2.70
Se  0.345  0.345  0.690  -0.07
Se  0.655  0.655  0.310  -0.07
Cl  0.000  0.000  0.000  -0.04

No. 3
A relaxed UCoP2 crystal, computed with PBE-GGA.

Values from the calculation:
* SG: P4/nmm, No. 129
* energy above the most stable polymorph in this dataset: 24 meV per atom
* total energy: -8.09 eV per atom
* total magnetization: 2.23 μB/f.u.
* E_form: -0.790 eV/atom

Unit cell a=3.696 b=3.696 c=9.246 alpha=90.00 beta=90.00 gamma=90.00
Site moments in Bohr magnetons follow the coordinates.
Fractional positions:
Co  0.500  0.500  0.500  0.42
Co  0.000  0.000  0.500  0.42
P  0.500  0.500  0.000  -0.03
P  0.000  0.000  0.000  -0.03
P  0.000  0.500  0.360  0.00
P  0.500  0.000  0.640  0.00
U  0.000  0.500  0.765  1.67
U  0.500  0.000  0.235  1.67

No. 4
A relaxed BaCu2Rh2 crystal, computed with PBE-GGA.

Values from the calculation:
* SG: P4/mbm, No. 127
* energy above the most stable polymorph in this dataset: 98 meV per atom
* total energy: -4.76 eV per atom
* total magnetization: 0.00 μB/f.u.
* E_form: 0.200 eV/atom

Unit cell a=7.645 b=7.645 c=3.018 alpha=90.00 beta=90.00 gamma=90.00
Fractional positions:
Rh  0.125  0.375  0.000
Rh  0.375  0.875  0.000
Rh  0.875  0.625  0.000
Rh  0.625  0.125  0.000
Cu  0.165  0.665  0.500
Cu  0.665  0.835  0.500
Cu  0.835  0.335  0.500
Cu  0.335  0.165  0.500
Ba  0.000  0.000  0.000
Ba  0.500  0.500  0.000

No. 5
A relaxed Mg2GaHg4 crystal, computed with PBE-GGA.

Values from the calculation:
* SG: Pbam, No. 55
* energy above the most stable polymorph in this dataset: 19 meV per atom
* total energy: -1.13 eV per atom
* total magnetization: 0.00 μB/f.u.
* E_form: -0.071 eV/atom

Unit cell a=3.846 b=6.760 c=12.585 alpha=90.00 beta=90.00 gamma=90.00
Fractional positions:
Mg  0.500  0.260  0.634
Mg  0.500  0.760  0.866
Mg  0.500  0.240  0.134
Mg  0.500  0.740  0.366
Ga  0.000  0.000  0.500
Ga  0.000  0.500  0.000
Hg  0.000  0.496  0.761
Hg  0.000  0.004  0.261
Hg  0.500  0.304  0.408
Hg  0.500  0.696  0.592
Hg  0.000  0.504  0.239
Hg  0.500  0.196  0.908
Hg  0.500  0.804  0.092
Hg  0.000  0.996  0.739

No. 6
A relaxed POsO2 crystal, computed with PBE-GGA.

Values from the calculation:
* SG: I-42d, No. 122
* total energy: -6.60 eV per atom
* total magnetization: 0.00 μB/f.u.

Unit cell a=3.629 b=3.629 c=7.096 alpha=75.19 beta=75.19 gamma=90.00
Fractional positions:
Os  0.750  0.250  0.500
Os  0.000  0.000  0.000
O  0.108  0.625  0.250
O  0.875  0.892  0.750
O  0.375  0.358  0.750
O  0.642  0.125  0.250
P  0.250  0.750  0.500
P  0.500  0.500  0.000